No. 1
Zn3CoNi6: optimized geometry, GGA-PBE.

a = 4.1218 Å, b = 6.7655 Å, c = 9.0556 Å
α = 113.11°, β = 90.00°, γ = 90.00°
Last column: nearest neighbours and their distance in Å.
Fractional coordinates of all 20 atoms:
Ni1 0.2500 0.4643 0.0719  7 Zn 2.52-2.56, 5 Ni 2.52-2.66
Ni2 0.7500 0.1260 0.7242  3 Co 2.46-2.50, 5 Ni 2.48-2.66, 4 Zn 2.53-2.61
Ni3 0.2500 0.8740 0.2758  3 Co 2.46-2.50, 5 Ni 2.48-2.66, 4 Zn 2.53-2.61
Zn1 0.2500 0.5599 0.3747  9 Ni 2.50-2.61, 1 Co 2.61, 2 Zn 2.63
Ni4 0.7500 0.5357 0.9281  7 Zn 2.52-2.56, 5 Ni 2.52-2.66
Ni5 0.2500 0.1641 0.1711  8 Ni 2.49-2.58, 4 Zn 2.55-2.59
Zn2 0.2500 0.3588 0.7722  8 Ni 2.47-2.61, 1 Co 2.58, 3 Zn 2.63-2.68
Zn3 0.7500 0.2277 0.0252  11 Ni 2.51-2.57, 1 Zn 2.68
Co1 0.2500 0.9655 0.5667  8 Ni 2.46-2.52, 2 Co 2.52, 2 Zn 2.58-2.61
Ni6 0.7500 0.9401 0.1354  4 Zn 2.47-2.52, 7 Ni 2.50-2.64, 1 Co 2.52
Zn4 0.7500 0.6412 0.2278  8 Ni 2.47-2.61, 1 Co 2.58, 3 Zn 2.63-2.68
Co2 0.7500 0.0345 0.4333  8 Ni 2.46-2.52, 2 Co 2.52, 2 Zn 2.58-2.61
Zn5 0.2500 0.7723 0.9748  11 Ni 2.51-2.57, 1 Zn 2.68
Ni7 0.2500 0.6725 0.6728  6 Ni 2.50-2.70, 5 Zn 2.50-2.61, 1 Co 2.52
Ni8 0.7500 0.8359 0.8289  8 Ni 2.49-2.58, 4 Zn 2.55-2.59
Ni9 0.2500 0.2562 0.4666  3 Co 2.47-2.50, 5 Ni 2.48-2.70, 4 Zn 2.50-2.58
Zn6 0.7500 0.4401 0.6253  9 Ni 2.50-2.61, 1 Co 2.61, 2 Zn 2.63
Ni10 0.7500 0.3275 0.3272  6 Ni 2.50-2.70, 5 Zn 2.50-2.61, 1 Co 2.52
Ni11 0.2500 0.0599 0.8646  4 Zn 2.47-2.52, 7 Ni 2.50-2.64, 1 Co 2.52
Ni12 0.7500 0.7438 0.5334  3 Co 2.47-2.50, 5 Ni 2.48-2.70, 4 Zn 2.50-2.58

Results
* energy of formation from the pure elements: -109 meV per atom
* magnetization: 3.1 μB/f.u.
* ρ: 8.68 g/cm³
* symmetry: P2_1/m (11)

---

No. 2
Li2MnTc: optimized geometry, GGA-PBE.

a = 5.1145 Å, b = 5.1145 Å, c = 5.1145 Å
α = 141.57°, β = 141.57°, γ = 55.47°
Last column: nearest neighbours and their distance in Å.
Fractional coordinates of all 4 atoms:
Tc1 0.7500 0.2500 0.5000  4 Mn 2.38
Li1 0.5000 0.5000 0.0000  4 Li 2.38
Mn1 0.2500 0.7500 0.5000  4 Tc 2.38
Li2 0.0000 0.0000 0.0000  4 Li 2.38

Results
* energy of formation from the pure elements: 317 meV per atom
* magnetization: 0.0 μB/f.u.
* ρ: 5.40 g/cm³
* E above lowest polymorph: 0.46 eV per formula unit
* symmetry: I4/mmm (139)